[1]
VASP calculation (PBE) on an optimized crystal structure of NdInHg2.

Cell: 4.805 4.805 4.489 Å, 90.00 90.00 90.00°
Space group P4/mmm (No. 123)
Asymmetric unit:
1 Nd 0.000 0.000 0.000
2 In 0.500 0.500 0.000
3 Hg 0.000 0.500 0.500

Properties
crystal system: tetragonal
Fermi-level density of states: 2.5 states/eV/cell
electronic total energy: -9.67 eV per cell

***

[2]
VASP calculation (PBE) on an optimized crystal structure of Nd2In3Hg2.

Cell: 11.483 4.698 7.072 Å, 90.00 99.04 90.00°
Space group C2/m (No. 12)
Asymmetric unit:
1 Nd 0.110 0.000 0.316
2 In 0.000 0.500 0.000
3 In 0.204 0.000 0.861
4 Hg 0.111 0.500 0.632

Properties
crystal system: monoclinic
Fermi-level density of states: 10.3 states/eV/cell
electronic total energy: -42.09 eV per cell

***

[3]
VASP calculation (PBE) on an optimized crystal structure of Nd9In2Hg.

Cell: 4.979 4.979 14.878 Å, 90.00 90.00 90.00°
Space group P4/mmm (No. 123)
Asymmetric unit:
1 Nd 0.000 0.000 0.000
2 Nd 0.000 0.000 0.331
3 Nd 0.000 0.500 0.165
4 Nd 0.000 0.500 0.500
5 In 0.500 0.500 0.333
6 Hg 0.500 0.500 0.000

Properties
crystal system: tetragonal
Fermi-level density of states: 19.2 states/eV/cell
electronic total energy: -51.58 eV per cell

***

[4]
VASP calculation (PBE) on an optimized crystal structure of NdIn3Hg3.

Cell: 9.0771 9.0771 5.1609 Å, 90.00 90.00 120.00°
Space group P6_3/m (No. 176)
Asymmetric unit:
1 Nd 0.3333 0.6667 0.2500
2 In 0.0236 0.2356 0.2500
3 Hg 0.0934 0.4761 0.7500

Properties
crystal system: hexagonal
Fermi-level density of states: 7.1 states/eV/cell
electronic total energy: -30.21 eV per cell

***

[5]
VASP calculation (PBE) on an optimized crystal structure of Nd5In2Hg.

Cell: 7.191 7.191 9.187 Å, 90.00 90.00 90.00°
Space group I4mm (No. 107)
Asymmetric unit:
1 Nd 0.000 0.000 0.000
2 Nd 0.250 0.250 0.250
3 In 0.000 0.500 0.000
4 Hg 0.000 0.000 0.501

Properties
crystal system: tetragonal
Fermi-level density of states: 18.0 states/eV/cell
electronic total energy: -64.61 eV per cell

***

[6]
VASP calculation (PBE) on an optimized crystal structure of Nd2In4Hg.

Cell: 6.196 10.555 12.301 Å, 90.00 90.00 90.00°
Space group Fmmm (No. 69)
Asymmetric unit:
1 Nd 0.000 0.000 0.141
2 In 0.250 0.250 0.000
3 In 0.250 0.250 0.250
4 Hg 0.000 0.000 0.500

Properties
crystal system: orthorhombic
Fermi-level density of states: 30.3 states/eV/cell
electronic total energy: -88.95 eV per cell

***

[7]
VASP calculation (PBE) on an optimized crystal structure of Nd6InHg2.

Cell: 5.336 13.071 16.013 Å, 90.00 90.00 90.00°
Space group Fmmm (No. 69)
Asymmetric unit:
1 Nd 0.000 0.151 0.169
2 Nd 0.000 0.157 0.500
3 In 0.000 0.000 0.000
4 Hg 0.000 0.000 0.338

Properties
crystal system: orthorhombic
Fermi-level density of states: 49.6 states/eV/cell
electronic total energy: -138.51 eV per cell

***

[8]
VASP calculation (PBE) on an optimized crystal structure of NdIn2Hg5.

Cell: 8.003 8.003 13.348 Å, 90.00 90.00 90.00°
Space group I4/mcm (No. 140)
Asymmetric unit:
1 Nd 0.000 0.000 0.250
2 In 0.150 0.350 0.000
3 Hg 0.000 0.000 0.000
4 Hg 0.146 0.354 0.338

Properties
crystal system: tetragonal
Fermi-level density of states: 13.4 states/eV/cell
electronic total energy: -51.04 eV per cell

***

[9]
VASP calculation (PBE) on an optimized crystal structure of Nd2InHg2.

Cell: 8.199 8.199 4.181 Å, 90.00 90.00 90.00°
Space group P4/mbm (No. 127)
Asymmetric unit:
1 Nd 0.172 0.328 0.000
2 In 0.000 0.000 0.500
3 Hg 0.129 0.629 0.500

Properties
crystal system: tetragonal
Fermi-level density of states: 8.2 states/eV/cell
electronic total energy: -30.23 eV per cell

***

[10]
VASP calculation (PBE) on an optimized crystal structure of Nd8InHg2.

Cell: 16.813 5.493 8.806 Å, 90.00 120.87 90.00°
Space group C2/m (No. 12)
Asymmetric unit:
1 Nd 0.070 0.000 0.222
2 Nd 0.093 0.500 0.950
3 Nd 0.139 0.000 0.693
4 Nd 0.181 0.500 0.454
5 In 0.000 0.500 0.500
6 Hg 0.225 0.000 0.118

Properties
crystal system: monoclinic
Fermi-level density of states: 21.4 states/eV/cell
electronic total energy: -88.48 eV per cell

***

[11]
VASP calculation (PBE) on an optimized crystal structure of Nd8InHg2.

Cell: 8.988 15.085 5.622 Å, 90.00 110.98 90.00°
Space group C2/m (No. 12)
Asymmetric unit:
1 Nd 0.000 0.225 0.000
2 Nd 0.101 0.500 0.803
3 Nd 0.200 0.111 0.594
4 In 0.000 0.000 0.000
5 Hg 0.000 0.309 0.500

Properties
crystal system: monoclinic
Fermi-level density of states: 27.7 states/eV/cell
electronic total energy: -86.60 eV per cell

***

[12]
VASP calculation (PBE) on an optimized crystal structure of Nd4In2Hg3.

Cell: 10.834 5.077 9.656 Å, 90.00 109.31 90.00°
Space group C2/m (No. 12)
Asymmetric unit:
1 Nd 0.057 0.000 0.347
2 Nd 0.148 0.500 0.894
3 In 0.216 0.500 0.259
4 Hg 0.000 0.000 0.000
5 Hg 0.141 0.500 0.563

Properties
crystal system: monoclinic
Fermi-level density of states: 14.3 states/eV/cell
electronic total energy: -58.34 eV per cell